Entry 1:
LaPr2Co3 after structural relaxation, computed with PBE.

a b c (Å): 4.631 8.225 8.239
angles (deg): 119.94 90.00 90.00
Site moments in Bohr magnetons follow the coordinates.
Positions (direct):
La (0.250, 0.171, 0.000)  -0.11
La (0.750, 0.829, 0.000)  -0.11
Pr (0.750, 0.504, 0.337)  -0.10
Pr (0.250, 0.496, 0.663)  -0.10
Pr (0.250, 0.833, 0.337)  -0.10
Pr (0.750, 0.167, 0.663)  -0.10
Co (0.000, 0.165, 0.331)  0.78
Co (0.500, 0.835, 0.669)  0.78
Co (0.000, 0.500, 0.000)  0.78
Co (0.500, 0.500, 0.000)  0.78
Co (0.000, 0.835, 0.669)  0.78
Co (0.500, 0.165, 0.331)  0.78

Calculated values
Space-group type: Cmcm (63)
Energy relative to the elements in eV per atom: -0.064


Entry 2:
La12PrCo6 after structural relaxation, computed with PBE.

a b c (Å): 8.857 8.857 8.857
angles (deg): 109.47 109.47 109.47
Positions (direct):
La (0.315, 0.120, 0.805)
La (0.315, 0.510, 0.195)
La (0.685, 0.490, 0.805)
La (0.685, 0.880, 0.195)
La (0.120, 0.805, 0.315)
La (0.510, 0.195, 0.315)
La (0.490, 0.805, 0.685)
La (0.880, 0.195, 0.685)
La (0.805, 0.315, 0.120)
La (0.195, 0.315, 0.510)
La (0.805, 0.685, 0.490)
La (0.195, 0.685, 0.880)
Pr (0.000, 0.000, 0.000)
Co (0.383, 0.500, 0.883)
Co (0.617, 0.500, 0.117)
Co (0.500, 0.883, 0.383)
Co (0.500, 0.117, 0.617)
Co (0.883, 0.383, 0.500)
Co (0.117, 0.617, 0.500)

Calculated values
Space-group type: Im-3 (204)
Energy relative to the elements in eV per atom: -0.093


Entry 3:
La4Pr3Co2 after structural relaxation, computed with PBE.

a b c (Å): 5.543 6.803 10.336
angles (deg): 54.76 74.42 65.90
Positions (direct):
La (0.284, 0.308, 0.123)
La (0.716, 0.692, 0.877)
La (0.149, 0.132, 0.571)
La (0.851, 0.868, 0.429)
Pr (0.430, 0.424, 0.717)
Pr (0.000, 0.000, 0.000)
Pr (0.570, 0.576, 0.283)
Co (0.356, 0.880, 0.408)
Co (0.644, 0.120, 0.592)

Calculated values
Space-group type: C2/m (12)
Energy relative to the elements in eV per atom: -0.024


Entry 4:
La3Pr3Co2 after structural relaxation, computed with PBE.

a b c (Å): 3.801 6.927 18.913
angles (deg): 90.00 90.00 105.92
Positions (direct):
La (0.666, 0.332, 0.438)
La (0.334, 0.668, 0.938)
La (0.666, 0.332, 0.062)
La (0.334, 0.668, 0.562)
La (0.372, 0.743, 0.250)
La (0.628, 0.257, 0.750)
Pr (0.931, 0.863, 0.402)
Pr (0.069, 0.137, 0.902)
Pr (0.931, 0.863, 0.098)
Pr (0.069, 0.137, 0.598)
Pr (0.646, 0.292, 0.250)
Pr (0.354, 0.708, 0.750)
Co (0.733, 0.465, 0.867)
Co (0.267, 0.535, 0.367)
Co (0.733, 0.465, 0.633)
Co (0.267, 0.535, 0.133)

Calculated values
Space-group type: Cmcm (63)
Energy relative to the elements in eV per atom: 0.015


Entry 5:
La6PrCo3 after structural relaxation, computed with PBE.

a b c (Å): 7.438 8.661 8.661
angles (deg): 92.52 90.00 90.00
Positions (direct):
La (0.102, 0.684, 0.698)
La (0.602, 0.698, 0.684)
La (0.357, 0.531, 0.003)
La (0.857, 0.003, 0.531)
La (0.166, 0.982, 0.018)
La (0.597, 0.305, 0.695)
La (0.097, 0.695, 0.305)
La (0.666, 0.018, 0.982)
La (0.357, 0.997, 0.469)
La (0.857, 0.469, 0.997)
La (0.102, 0.302, 0.316)
La (0.602, 0.316, 0.302)
Pr (0.147, 0.270, 0.730)
Pr (0.647, 0.730, 0.270)
Co (0.397, 0.997, 0.748)
Co (0.897, 0.748, 0.997)
Co (0.361, 0.469, 0.531)
Co (0.861, 0.531, 0.469)
Co (0.897, 0.003, 0.252)
Co (0.397, 0.252, 0.003)

Calculated values
Space-group type: Cmc2_1 (36)
Energy relative to the elements in eV per atom: -0.013


Entry 6:
La12PrCo7 after structural relaxation, computed with PBE.

a b c (Å): 8.911 8.911 8.911
angles (deg): 107.30 107.30 107.30
Positions (direct):
La (0.925, 0.315, 0.778)
La (0.685, 0.222, 0.075)
La (0.452, 0.157, 0.377)
La (0.843, 0.623, 0.548)
La (0.222, 0.075, 0.685)
La (0.623, 0.548, 0.843)
La (0.377, 0.452, 0.157)
La (0.778, 0.925, 0.315)
La (0.157, 0.377, 0.452)
La (0.548, 0.843, 0.623)
La (0.315, 0.778, 0.925)
La (0.075, 0.685, 0.222)
Pr (0.000, 0.000, 0.000)
Co (0.975, 0.637, 0.870)
Co (0.363, 0.130, 0.025)
Co (0.130, 0.025, 0.363)
Co (0.500, 0.500, 0.500)
Co (0.870, 0.975, 0.637)
Co (0.637, 0.870, 0.975)
Co (0.025, 0.363, 0.130)

Calculated values
Space-group type: R-3 (148)
Energy relative to the elements in eV per atom: -0.088